Compound: LuScTlZn
Source: the Alexandria database
Functional: GGA-PBE
Structure: relaxed

Computed properties:
Electronic total energy in eV per atom: -3.91
Energy of formation from the pure elements in eV/atom: -0.2822

a b c (Å): 5.028 5.028 5.028
angles (deg): 60.00 60.00 60.00
Atoms (fractional coordinates):
Sc1 0.250 0.250 0.250
Tl1 0.500 0.500 0.500
Lu1 0.750 0.750 0.750
Zn1 0.000 0.000 0.000

=====

Compound: DyCd2Bi
Source: the Alexandria database
Functional: GGA-PBE
Structure: relaxed

Computed properties:
Electronic total energy in eV per atom: -2.39
Energy of formation from the pure elements in eV/atom: 0.1924

a b c (Å): 3.391 3.391 11.969
angles (deg): 81.86 81.86 60.00
Atoms (fractional coordinates):
Cd1 0.088 0.088 0.737
Cd2 0.912 0.912 0.263
Bi1 0.500 0.500 0.500
Dy1 0.000 0.000 0.000